Entry 1:
First-principles (GGA-PBE) data for an optimized crystal structure of Tl3SBr, as listed in Alexandria via LeMat-Bulk.

Structure (extended XYZ):
```
10
Lattice="-1.661 3.607 1.543 -6.159 0.878 -2.801 -7.640 -6.772 7.606" Properties=species:S:1:pos:R:3 pbc="T T T"
S -2.035 2.154 0.948
Tl -8.346 1.743 0.996
Tl -5.506 1.660 -1.634
S -3.156 -1.677 2.813
Br -12.044 -1.945 5.640
Tl -9.914 -2.165 2.562
Tl -9.080 -3.251 6.005
Tl -5.845 -0.307 2.596
Br -8.610 0.135 4.470
Tl -3.004 -0.388 -0.035
```

Results
ΔE_f (raw), eV/f.u.: -2.54
Energy relative to the lowest polymorph listed for this composition, meV/atom: 0
Density, Mg/m³: 7.06
V, A^3/atom: 34.127
Total moment, μB/f.u.: 0.00

=====

Entry 2:
First-principles (GGA-PBE) data for an optimized crystal structure of Ta2CoNi, as listed in Alexandria via LeMat-Bulk.

Structure (extended XYZ):
```
4
Lattice="-1.593 1.012 -4.293 0.205 -1.135 -4.545 -3.603 -2.984 -0.284" Properties=species:S:1:pos:R:3 pbc="T T T"
Ni -3.838 -2.400 -6.922
Co -2.406 -1.489 -4.473
Ta -1.408 -0.919 -2.213
Ta -3.440 -2.839 -0.359
```

Results
Energy of formation from the pure elements, meV/atom: -94
Energy relative to the lowest polymorph listed for this composition, meV/atom: 92
Density, Mg/m³: 13.75
V, A^3/atom: 14.476
Total moment, μB/f.u.: 0.00

=====

Entry 3:
First-principles (GGA-PBE) data for an optimized crystal structure of SbMo2P, as listed in Alexandria via LeMat-Bulk.

Structure (extended XYZ):
```
4
Lattice="-4.802 -6.651 -1.239 -3.750 -7.200 1.712 -6.258 -5.302 1.245" Properties=species:S:1:pos:R:3 pbc="T T T"
P -7.238 -9.360 0.840
Mo -11.208 -14.494 1.300
Mo -0.051 -0.066 0.006
Sb -3.718 -4.809 0.431
```

Results
ΔE_f (raw), eV/f.u.: 0.56
Energy relative to the lowest polymorph listed for this composition, meV/atom: 268
Density, Mg/m³: 8.08
V, A^3/atom: 17.715
Total moment, μB/f.u.: 0.00

=====

Entry 4:
First-principles (GGA-PBE) data for an optimized crystal structure of AcSmTm2, as listed in Alexandria via LeMat-Bulk.

Structure (extended XYZ):
```
4
Lattice="3.695 0.000 0.000 1.847 3.200 0.000 1.847 1.067 11.658" Properties=species:S:1:pos:R:3 pbc="T T T"
Tm 1.847 1.067 2.997
Ac 3.695 2.133 0.008
Tm 1.847 1.067 8.663
Sm 3.695 2.133 5.820
```

Results
Energy of formation from the pure elements, meV/atom: 62
Energy relative to the lowest polymorph listed for this composition, meV/atom: 6
Density, Mg/m³: 8.62
V, A^3/atom: 34.456
Total moment, μB/f.u.: 0.00

=====

Entry 5:
First-principles (GGA-PBE) data for an optimized crystal structure of Ca3SbH2, as listed in Alexandria via LeMat-Bulk.

Structure (extended XYZ):
```
12
Lattice="4.307 0.000 0.000 0.000 6.198 -0.597 -2.153 -2.433 11.140" Properties=species:S:1:pos:R:3 pbc="T T T"
Sb 2.153 4.731 2.752
H 0.000 2.232 6.127
H 0.000 1.071 1.235
Ca 2.153 -1.112 9.968
Sb 0.000 -0.966 7.791
Ca 0.000 4.877 0.576
Ca 0.000 2.156 8.454
H 2.153 2.693 9.308
Ca 2.153 3.454 5.614
H 2.153 1.533 4.416
Ca 2.153 1.609 2.089
Ca 0.000 0.310 4.930
```

Results
Energy relative to the lowest polymorph listed for this composition, meV/atom: 95
Density, Mg/m³: 2.78
V, A^3/atom: 24.258
Total moment, μB/f.u.: 1.02

=====

Entry 6:
First-principles (GGA-PBE) data for an optimized crystal structure of BaSr2S3, as listed in Alexandria via LeMat-Bulk.

Structure (extended XYZ):
```
6
Lattice="4.209 0.000 -1.192 -0.651 5.746 -2.299 -0.123 -0.347 7.589" Properties=species:S:1:pos:R:3 pbc="T T T"
S 0.000 0.000 0.000
Sr 2.657 0.843 1.353
Ba -0.326 2.873 -1.150
S 2.360 3.759 0.304
Sr 0.777 4.556 2.744
S 1.075 1.640 3.793
```

Results
ΔE_f (raw), eV/f.u.: -12.65
Density, Mg/m³: 3.79
V, A^3/atom: 29.846
Total moment, μB/f.u.: 0.00

=====

Entry 7:
First-principles (GGA-PBE) data for an optimized crystal structure of Cs6Rb23Mg, as listed in Alexandria via LeMat-Bulk.

Structure (extended XYZ):
```
30
Lattice="-10.957 2.521 -11.337 -11.814 -10.520 -2.166 -14.955 3.841 4.064" Properties=species:S:1:pos:R:3 pbc="T T T"
Rb -30.130 -1.496 -4.944
Cs -17.376 0.173 -1.378
Rb -8.640 2.111 -2.424
Rb -29.086 -6.269 -7.014
Rb 0.000 0.000 0.000
Rb -25.160 -2.773 -6.295
Rb -12.340 1.530 1.023
Cs -21.870 -3.829 -2.202
Rb -28.801 -1.935 -10.062
Cs -16.182 -5.289 -3.748
Rb -10.686 -6.031 -2.258
Rb -4.466 -0.492 -1.117
Rb -10.234 0.835 -7.086
Rb -12.956 3.181 -3.636
Rb -5.478 1.261 -5.668
Rb -27.491 -4.993 -2.352
Cs -21.544 1.132 -5.690
Rb -25.386 -5.688 -10.461
Mg -18.863 -2.079 -4.719
Rb -5.907 -5.260 -1.083
Cs -15.856 -0.329 -7.236
Rb -7.596 -2.661 -4.494
Rb -27.040 1.873 -7.181
Rb -12.565 -1.385 -3.144
Cs -20.349 -4.330 -8.060
Rb -13.384 -3.340 0.949
Rb -7.478 1.921 2.032
Rb -8.925 -2.223 0.624
Rb -11.385 -3.999 -6.751
Rb -33.260 -3.666 -8.321
```

Results
Energy of formation from the pure elements, meV/atom: 45
Density, Mg/m³: 1.61
V, A^3/atom: 95.939
Total moment, μB/f.u.: 0.00

=====

Entry 8:
First-principles (GGA-PBE) data for an optimized crystal structure of CaAg2Rh, as listed in Alexandria via LeMat-Bulk.

Structure (extended XYZ):
```
4
Lattice="-0.897 -0.152 4.016 -3.997 -0.394 -0.908 0.447 -4.387 -0.066" Properties=species:S:1:pos:R:3 pbc="T T T"
Ag 0.000 0.000 0.000
Ag -2.447 -0.273 1.554
Ca -0.225 -2.269 1.975
Rh -1.775 -2.391 -0.487
```

Results
Energy of formation from the pure elements, meV/atom: -151
Energy relative to the lowest polymorph listed for this composition, meV/atom: 0
Density, Mg/m³: 7.96
V, A^3/atom: 18.699
Total moment, μB/f.u.: 0.00

=====

Entry 9:
First-principles (GGA-PBE) data for an optimized crystal structure of Ga6Te10Pb, as listed in Alexandria via LeMat-Bulk.

Structure (extended XYZ):
```
102
Lattice="14.836 0.000 0.000 -7.418 12.849 0.000 0.000 0.000 18.231" Properties=species:S:1:pos:R:3 pbc="T T T"
Te 8.496 2.213 3.161
Ga 6.932 11.803 4.608
Te 10.302 2.266 14.424
Ga -0.487 1.046 1.470
Pb 11.622 3.342 2.898
Ga -2.710 9.516 1.297
Te 1.739 0.439 4.959
Ga 4.731 11.873 16.966
Te 9.128 3.890 7.207
Ga 0.532 5.744 13.452
Te -3.085 6.963 8.373
Ga 6.969 3.256 10.696
Ga 4.709 3.333 4.780
Ga -0.449 9.593 13.612
Te -1.275 7.257 1.052
Te 1.771 8.116 13.206
Ga 8.532 4.407 4.619
Ga 2.139 6.728 4.848
Te 6.929 11.123 11.036
Ga 7.940 1.511 7.306
Ga 1.253 8.691 10.606
Pb 6.131 8.394 15.052
Pb 4.204 9.507 3.179
Te 9.910 0.012 6.147
Te 3.665 0.000 12.154
Te 2.452 4.272 6.007
Ga 14.174 0.945 10.685
Ga -0.735 9.588 4.529
Te 2.931 6.695 2.296
Ga 2.189 1.839 13.420
Ga 7.917 10.034 1.265
Pb -2.917 11.736 15.333
Te 0.155 12.039 14.450
Pb 4.502 1.113 8.975
Ga -6.269 12.747 7.547
Te 9.189 4.733 11.103
Te 2.981 1.822 15.958
Te 2.474 4.260 12.224
Te 7.723 7.789 8.347
Te -1.195 9.850 11.024
Te 11.768 1.671 9.881
Te 5.655 1.113 5.979
Ga 4.757 5.217 13.383
Te -2.331 8.464 15.070
Ga 6.753 5.186 16.773
Te -4.944 8.589 12.084
Te -1.763 11.736 0.098
Te 4.230 2.794 2.270
Ga 6.901 5.430 7.625
Te 2.883 10.583 9.884
Te 6.168 11.563 7.195
Te -1.833 3.174 6.077
Te 11.046 4.341 18.133
Ga -5.230 11.010 10.889
Te 7.505 9.356 3.804
Te 3.627 8.508 6.176
Te -0.496 10.325 7.129
Te -0.489 1.726 13.272
Te 4.333 5.886 15.935
Ga 6.756 11.904 13.624
Te 0.087 3.493 2.274
Te 0.305 5.060 15.961
Te 5.087 4.384 9.238
Pb -1.287 4.455 9.256
Ga 8.671 4.158 13.702
Ga 0.498 2.815 4.812
Ga -0.518 7.418 16.683
Ga 1.114 8.441 1.458
Te 5.586 9.675 0.000
Te 4.350 11.178 14.428
Te 6.922 2.524 17.180
Ga -2.661 7.632 10.925
Ga 9.596 2.412 16.934
Te 8.672 6.251 15.315
Te 6.904 5.960 1.130
Te -5.679 12.409 1.118
Te 6.143 5.592 5.025
Ga 9.558 6.121 1.229
Ga 7.950 7.105 10.857
Te -0.514 6.889 4.947
Ga 2.178 10.437 7.375
Ga 6.683 3.261 1.548
Te 1.173 2.031 9.116
Te 1.078 10.635 2.916
Ga 1.149 0.102 16.762
Te 1.710 8.959 17.101
Te 12.491 0.000 3.039
Te 7.573 0.810 9.858
Te -3.188 10.054 3.807
Ga 0.522 11.337 17.002
Te -1.864 5.454 12.253
Ga 12.149 0.976 7.342
Te 5.554 7.395 12.056
Te 10.349 6.153 3.781
Te 6.223 2.999 13.284
Te -6.245 10.817 15.193
Ga -0.665 7.663 7.535
Te 1.253 6.598 8.993
Te 9.871 8.576 0.070
Te 2.492 12.836 18.161
Te 13.587 1.286 17.113
Te -4.437 11.027 8.351
```

Results
ΔE_f (raw), eV/f.u.: -5.87
Density, Mg/m³: 5.45
V, A^3/atom: 34.073
Total moment, μB/f.u.: 0.00

=====

Entry 10:
First-principles (GGA-PBE) data for an optimized crystal structure of Nd2Sm3Y3, as listed in Alexandria via LeMat-Bulk.

Structure (extended XYZ):
```
8
Lattice="5.125 0.000 0.000 0.000 5.126 0.000 -2.562 -2.563 10.214" Properties=species:S:1:pos:R:3 pbc="T T T"
Nd 0.000 2.563 5.108
Sm 2.562 2.563 7.688
Y 0.000 0.000 7.678
Nd 2.562 0.000 5.107
Sm 0.000 0.000 2.527
Sm 0.000 2.563 0.000
Y 2.562 0.000 0.000
Y 2.562 2.563 2.536
```

Results
Energy of formation from the pure elements, meV/atom: 18
Density, Mg/m³: 6.23
V, A^3/atom: 33.541
Total moment, μB/f.u.: 0.00

=====

Entry 11:
First-principles (GGA-PBE) data for an optimized crystal structure of CsCdBH2, as listed in Alexandria via LeMat-Bulk.

Structure (extended XYZ):
```
5
Lattice="4.486 0.000 0.000 0.000 4.516 0.000 0.000 0.000 4.486" Properties=species:S:1:pos:R:3 pbc="T T T"
B 0.000 2.258 0.000
H 0.000 0.000 2.243
Cs 2.243 2.258 2.243
Cd 0.000 0.000 0.000
H 2.243 0.000 0.000
```

Results
Calculated total energy, eV per formula unit: -11.09
Density, Mg/m³: 4.72
V, A^3/atom: 18.181
Total moment, μB/f.u.: 0.00

=====

Entry 12:
First-principles (GGA-PBE) data for an optimized crystal structure of Ba2CuSbAu6, as listed in Alexandria via LeMat-Bulk.

Structure (extended XYZ):
```
10
Lattice="-4.041 2.381 5.675 -2.689 -6.850 -0.001 -0.173 -1.511 7.213" Properties=species:S:1:pos:R:3 pbc="T T T"
Au -3.626 0.186 4.331
Au -1.680 -1.762 5.095
Au -3.277 -6.166 8.555
Ba -3.000 -5.079 5.316
Au -1.276 -0.300 2.427
Ba -3.903 -0.901 7.571
Au -5.627 -5.680 10.460
Cu 0.000 0.000 0.000
Sb -3.365 -2.234 2.837
Au -5.224 -4.218 7.791
```

Results
ΔE_f (raw), eV/f.u.: -4.35
Density, Mg/m³: 10.40
V, A^3/atom: 26.218
Total moment, μB/f.u.: 0.00

=====

Copy entry 1 word for word.
First-principles (GGA-PBE) data for an optimized crystal structure of Tl3SBr, as listed in Alexandria via LeMat-Bulk.

Structure (extended XYZ):
```
10
Lattice="-1.661 3.607 1.543 -6.159 0.878 -2.801 -7.640 -6.772 7.606" Properties=species:S:1:pos:R:3 pbc="T T T"
S -2.035 2.154 0.948
Tl -8.346 1.743 0.996
Tl -5.506 1.660 -1.634
S -3.156 -1.677 2.813
Br -12.044 -1.945 5.640
Tl -9.914 -2.165 2.562
Tl -9.080 -3.251 6.005
Tl -5.845 -0.307 2.596
Br -8.610 0.135 4.470
Tl -3.004 -0.388 -0.035
```

Results
ΔE_f (raw), eV/f.u.: -2.54
Energy relative to the lowest polymorph listed for this composition, meV/atom: 0
Density, Mg/m³: 7.06
V, A^3/atom: 34.127
Total moment, μB/f.u.: 0.00